--- w ---
Density functional theory data (PBE) for a geometry-optimized ScGeCl2 structure.

The value obtained for the total magnetization is 0.0 μB per cell. For the theoretical density, the calculation gives 4.01 g/cm³.

It has space group Fm-3m (No. 225), with a = 6.7859 Å, b = 6.7859 Å, c = 6.7859 Å, α = 90.00°, β = 90.00° and γ = 90.00°. The inequivalent atoms are Sc at (0.0000, 0.0000, 0.0000), Ge at (0.0000, 0.0000, 0.5000) and Cl at (0.2500, 0.2500, 0.2500).

=====

--- x ---
Density functional theory data (PBE) for a geometry-optimized ScGeCl2 structure.

The value obtained for the total magnetization is 0.0 μB per cell. For the theoretical density, the calculation gives 2.53 g/cm³.

It has space group I-42d (No. 122), with a = 6.4907 Å, b = 6.4907 Å, c = 11.7286 Å, α = 90.00°, β = 90.00° and γ = 90.00°. The inequivalent atoms are Sc at (0.0000, 0.0000, 0.0000), Ge at (0.0000, 0.0000, 0.5000) and Cl at (0.1599, 0.2500, 0.1250).

=====

Energy above the most stable structure, in meV per atom: w 0; x 53